# 1
First-principles (PBE-GGA) data for a relaxed structure of La2TiGe2, as listed in Alexandria via LeMat-Bulk.

Geometry as CIF:
```
data_La2TiGe2
_symmetry_space_group_name_H-M 'P 4/m b m'
_symmetry_Int_Tables_number 127
_symmetry_space_group_name_Hall '-P 4 2ab'
_cell_length_a 8.607
_cell_length_b 8.607
_cell_length_c 3.563
_cell_angle_alpha 90.00
_cell_angle_beta 90.00
_cell_angle_gamma 90.00
loop_
_atom_site_label
_atom_site_type_symbol
_atom_site_fract_x
_atom_site_fract_y
_atom_site_fract_z
La1 La 0.129 0.371 0.000
Ti1 Ti 0.000 0.000 0.000
Ge1 Ge 0.174 0.674 0.500
```

Computed properties:
Crystal system: tetragonal
VASP energy: -54.9 eV per cell

=====

# 2
First-principles (PBE-GGA) data for a relaxed structure of Be2Te, as listed in Alexandria via LeMat-Bulk.

Geometry as CIF:
```
data_Be2Te
_symmetry_space_group_name_H-M 'C m c m'
_symmetry_Int_Tables_number 63
_symmetry_space_group_name_Hall '-C 2c 2'
_cell_length_a 3.333
_cell_length_b 17.956
_cell_length_c 3.626
_cell_angle_alpha 90.00
_cell_angle_beta 90.00
_cell_angle_gamma 90.00
loop_
_atom_site_label
_atom_site_type_symbol
_atom_site_fract_x
_atom_site_fract_y
_atom_site_fract_z
Be1 Be 0.000 0.036 0.250
Be2 Be 0.000 0.450 0.250
Te1 Te 0.000 0.355 0.750
```

Computed properties:
Crystal system: orthorhombic
E_form (uncorrected): 2.49 kcal/mol of atoms

=====

# 3
First-principles (PBE-GGA) data for a relaxed structure of LiPb3W, as listed in Alexandria via LeMat-Bulk.

Geometry as CIF:
```
data_LiPb3W
_symmetry_space_group_name_H-M 'P m -3 m'
_symmetry_Int_Tables_number 221
_symmetry_space_group_name_Hall '-P 4 2 3'
_cell_length_a 5.057
_cell_length_b 5.057
_cell_length_c 5.057
_cell_angle_alpha 90.00
_cell_angle_beta 90.00
_cell_angle_gamma 90.00
loop_
_atom_site_label
_atom_site_type_symbol
_atom_site_fract_x
_atom_site_fract_y
_atom_site_fract_z
Li1 Li 0.000 0.000 0.000
Pb1 Pb 0.000 0.000 0.500
W1 W 0.500 0.500 0.500
```

Computed properties:
Crystal system: cubic
VASP energy: -20.2 eV per cell